Ba2SnHg3Pd4 after structural relaxation, computed with PBE.

Cell and atoms, written as POSCAR:
```
Ba2SnHg3Pd4
1.0
4.933 0.000 0.000
0.000 4.933 0.000
0.000 0.000 10.532
Ba Hg Pd Sn
2 3 4 1
Direct
0.000 0.500 0.768 Ba
0.500 0.000 0.232 Ba
0.000 0.000 0.500 Hg
0.000 0.500 0.127 Hg
0.500 0.000 0.873 Hg
0.000 0.000 0.000 Pd
0.500 0.500 0.000 Pd
0.000 0.500 0.389 Pd
0.500 0.000 0.611 Pd
0.500 0.500 0.500 Sn
```

Calculated values
Total energy: -3.426 eV/atom

SrTiAs2 after structural relaxation, computed with PBE.

Cell and atoms, written as POSCAR:
```
SrTiAs2
1.0
0.000 3.516 3.516
3.516 0.000 3.516
3.516 3.516 0.000
As Ti Sr
2 1 1
Direct
0.250 0.250 0.250 As
0.750 0.750 0.750 As
0.000 0.000 0.000 Ti
0.500 0.500 0.500 Sr
```

Calculated values
Total energy: -5.136 eV/atom
Polymorph energy (0 for the lowest one): 50.9 kJ/mol of atoms

Cs6RbAgAu after structural relaxation, computed with PBE.

Cell and atoms, written as POSCAR:
```
Cs6RbAgAu
1.0
-2.144 0.749 9.662
3.960 -6.302 6.572
7.126 5.847 1.198
Cs Ag Rb Au
6 1 1 1
Direct
0.599 0.003 0.269 Cs
0.596 0.396 0.728 Cs
0.013 0.393 0.270 Cs
0.393 0.013 0.730 Cs
0.003 0.599 0.731 Cs
0.395 0.596 0.272 Cs
0.666 0.666 0.500 Ag
0.001 0.001 0.000 Rb
0.334 0.334 0.500 Au
```

Calculated values
Total energy: -1.387 eV/atom

Number 1: formation enthalpy at 0 K -473 meV per atom. Number 2: formation enthalpy at 0 K -417 meV per atom. Number 3: formation enthalpy at 0 K -29 meV per atom.